Entry 1:
Below is GdSnSO after structural relaxation, with properties calculated at the PBE level.

The space group is P2_1/c (No. 14) and the conventional cell measures 6.0348, 18.0158 and 5.9653 Å, with angles of 90.00, 90.11 and 90.00 degrees. Symmetry generates all atoms from Gd at (0.1321, 0.1956, 0.0389), Gd at (0.3679, 0.6955, 0.0389), Sn at (0.1867, 0.5214, 0.6635), Sn at (0.3132, 0.0214, 0.6631), S at (0.0027, 0.0978, 0.3882), S at (0.4974, 0.5978, 0.3881), O at (0.1386, 0.7408, 0.7647) and O at (0.3614, 0.2408, 0.7647).

For the calculated density, the calculation gives 6.64 g/cm3. For the volume, the calculation gives 20.3 Å³/atom. The value obtained for the energy above the lowest structure with this stoichiometry is 0.09 eV per formula unit.

---

Entry 2:
Below is GdSnSO after structural relaxation, with properties calculated at the PBE level.

The space group is Pbca (No. 61) and the conventional cell measures 6.2301, 17.2697 and 6.5204 Å, with angles of 90.00, 90.00 and 90.00 degrees. Symmetry generates all atoms from Gd at (0.1524, 0.1970, 0.0845), Sn at (0.1779, 0.5247, 0.6661), S at (0.0014, 0.0918, 0.3822) and O at (0.1587, 0.7457, 0.8184).

For the calculated density, the calculation gives 6.14 g/cm3. For the volume, the calculation gives 21.9 Å³/atom. The value obtained for the energy above the lowest structure with this stoichiometry is 0.19 eV per formula unit.

---

Entry 3:
Below is GdSnSO after structural relaxation, with properties calculated at the PBE level.

The space group is Pbca (No. 61) and the conventional cell measures 6.0174, 6.1086 and 17.3571 Å, with angles of 90.00, 90.00 and 90.00 degrees. Symmetry generates all atoms from Gd at (0.0308, 0.1196, 0.1984), Sn at (0.2172, 0.1110, 0.9739), S at (0.1020, 0.5139, 0.1043) and O at (0.2483, 0.1384, 0.7648).

For the calculated density, the calculation gives 6.75 g/cm3. For the volume, the calculation gives 19.9 Å³/atom. The value obtained for the energy above the lowest structure with this stoichiometry is 0.02 eV per formula unit.

---

Entry 4:
Below is GdSnSO after structural relaxation, with properties calculated at the PBE level.

The space group is Pbca (No. 61) and the conventional cell measures 6.3008, 15.9445 and 7.0521 Å, with angles of 90.00, 90.00 and 90.00 degrees. Symmetry generates all atoms from Gd at (0.1513, 0.2031, 0.1106), Sn at (0.1700, 0.5289, 0.6650), S at (0.0047, 0.5892, 0.1214) and O at (0.1763, 0.7447, 0.8480).

For the calculated density, the calculation gives 6.08 g/cm3. For the volume, the calculation gives 22.1 Å³/atom. The value obtained for the energy above the lowest structure with this stoichiometry is 0.25 eV per formula unit.

---

Entry 5:
Below is GdSnSO after structural relaxation, with properties calculated at the PBE level.

The space group is Pbca (No. 61) and the conventional cell measures 5.9885, 6.0544 and 17.7843 Å, with angles of 90.00, 90.00 and 90.00 degrees. Symmetry generates all atoms from Gd at (0.0279, 0.1208, 0.1980), Sn at (0.1457, 0.2043, 0.9801), S at (0.1134, 0.5039, 0.1023) and O at (0.2467, 0.1386, 0.7633).

For the calculated density, the calculation gives 6.68 g/cm3. For the volume, the calculation gives 20.2 Å³/atom. The value obtained for the energy above the lowest structure with this stoichiometry is 0.04 eV per formula unit.

---

Entry 6:
Below is GdSnSO after structural relaxation, with properties calculated at the PBE level.

The space group is Pbca (No. 61) and the conventional cell measures 5.9245, 15.1808 and 8.3127 Å, with angles of 90.00, 90.00 and 90.00 degrees. Symmetry generates all atoms from Gd at (0.1034, 0.2334, 0.1282), Sn at (0.1825, 0.0463, 0.5896), S at (0.0070, 0.5617, 0.3406) and O at (0.2422, 0.2455, 0.8799).

For the calculated density, the calculation gives 5.76 g/cm3. For the volume, the calculation gives 23.4 Å³/atom. The value obtained for the energy above the lowest structure with this stoichiometry is 0.68 eV per formula unit.

---

Repeat the fifth record exactly.
Below is GdSnSO after structural relaxation, with properties calculated at the PBE level.

The space group is Pbca (No. 61) and the conventional cell measures 5.9885, 6.0544 and 17.7843 Å, with angles of 90.00, 90.00 and 90.00 degrees. Symmetry generates all atoms from Gd at (0.0279, 0.1208, 0.1980), Sn at (0.1457, 0.2043, 0.9801), S at (0.1134, 0.5039, 0.1023) and O at (0.2467, 0.1386, 0.7633).

For the calculated density, the calculation gives 6.68 g/cm3. For the volume, the calculation gives 20.2 Å³/atom. The value obtained for the energy above the lowest structure with this stoichiometry is 0.04 eV per formula unit.

---

Which of these has the highest calculated density?
number 3